Entry from the Alexandria database: an optimized crystal structure of Hg2PbSe (PBE).

It has space group Immm (No. 71), with a = 4.3474 Å, b = 4.3944 Å, c = 12.2518 Å, α = 90.00°, β = 90.00° and γ = 90.00°. The distinct sites, in fractional coordinates, are Hg at (0.0000, 0.0000, 0.2401), Pb at (0.0000, 0.0000, 0.5000) and Se at (0.0000, 0.0000, 0.0000).

The value obtained for the calculated total energy is -2.173 eV per atom. As for the formation energy from raw total energies: -0.22 eV/atom. The density of states at the Fermi level is 1.2 states/eV/cell.